# Zr2InCu

A relaxed Zr2InCu crystal (PBE, the Alexandria database).

Formation enthalpy at 0 K: -0.16 eV/atom
Magnetic moment: 0.0 μB per cell

Cell and atoms, written as CIF:
```
data_Zr2InCu
_chemical_formula_sum 'Zr2 In1 Cu1'
_cell_length_a 4.339
_cell_length_b 4.339
_cell_length_c 4.233
_cell_angle_alpha 90.00
_cell_angle_beta 90.00
_cell_angle_gamma 90.00
_symmetry_space_group_name_H-M 'P 4/m m m'
_symmetry_Int_Tables_number 123
_symmetry_space_group_name_Hall '-P 4 2'
loop_
_atom_site_label
_atom_site_fract_x
_atom_site_fract_y
_atom_site_fract_z
_atom_site_occupancy
Zr1 0.000 0.500 0.000 1
In1 0.000 0.000 0.500 1
Cu1 0.500 0.500 0.500 1
```